*w*
VASP calculation (PBE-GGA) on SrPm2Gd after structural relaxation.

```
4
Lattice="5.2952 0.0000 0.0000 0.0000 5.2952 0.0000 0.0000 0.0000 5.2707" Properties=species:S:1:pos:R:3 pbc="T T T"
Sr 0.0000 0.0000 0.0000
Pm 0.0000 2.6476 2.6354
Pm 2.6476 0.0000 2.6354
Gd 2.6476 2.6476 0.0000
```

## Properties
total moment: 7.60 μB/cell
space-group type: P4/mmm, No. 123
DOS at the Fermi energy: 7.35 states/eV/cell
volume: 36.9 Å³ per atom



*x*
VASP calculation (PBE-GGA) on SrPm2Gd after structural relaxation.

```
4
Lattice="1.8315 1.0574 13.0369 -1.8315 1.0574 13.0369 0.0000 -2.1148 13.0369" Properties=species:S:1:pos:R:3 pbc="T T T"
Sr 0.0000 0.0000 0.0000
Pm 0.0000 0.0000 3.6289
Pm 0.0000 0.0000 35.4818
Gd 0.0000 0.0000 19.5554
```

## Properties
total moment: 7.03 μB/cell
space-group type: R-3m, No. 166
DOS at the Fermi energy: 6.83 states/eV/cell
volume: 37.9 Å³ per atom



*y*
VASP calculation (PBE-GGA) on SrPm2Gd after structural relaxation.

```
4
Lattice="3.7368 0.0000 0.0000 0.0000 3.7368 0.0000 0.0000 0.0000 10.7105" Properties=species:S:1:pos:R:3 pbc="T T T"
Sr 0.0000 0.0000 0.0000
Pm 1.8684 1.8684 2.9596
Pm 1.8684 1.8684 7.7509
Gd 0.0000 0.0000 5.3553
```

## Properties
total moment: 7.13 μB/cell
space-group type: P4/mmm, No. 123
DOS at the Fermi energy: 6.35 states/eV/cell
volume: 37.4 Å³ per atom



Which structure wins on stability? *y* wins.



*w*
VASP calculation (PBE-GGA) on PmGdTe after structural relaxation.

```
3
Lattice="5.1780 0.0000 0.0000 -2.5890 4.4843 0.0000 0.0000 0.0000 4.1765" Properties=species:S:1:pos:R:3 pbc="T T T"
Pm 0.0000 0.0000 0.0000
Gd 2.5890 1.4948 2.1219
Te 0.0000 2.9895 3.0511
```

## Properties
total moment: 7.29 μB/cell
space-group type: P3m1, No. 156
DOS at the Fermi energy: 3.40 states/eV/cell
volume: 32.3 Å³ per atom



*x*
VASP calculation (PBE-GGA) on PmGdTe after structural relaxation.

```
3
Lattice="-1.9717 1.9717 5.8788 1.9717 -1.9717 5.8788 1.9717 1.9717 -5.8788" Properties=species:S:1:pos:R:3 pbc="T T T"
Pm 0.0000 0.0000 0.0000
Gd 0.0000 0.0000 8.1675
Te 0.0000 0.0000 4.0287
```

## Properties
total moment: 7.43 μB/cell
space-group type: I4mm, No. 107
DOS at the Fermi energy: 2.85 states/eV/cell
volume: 30.5 Å³ per atom



Which structure wins on stability? *x* wins.



*w*
VASP calculation (PBE-GGA) on Pm2GdTe after structural relaxation.

```
4
Lattice="4.9653 0.0000 0.0000 0.0000 4.9653 0.0000 0.0000 0.0000 4.7001" Properties=species:S:1:pos:R:3 pbc="T T T"
Pm 0.0000 2.4827 0.0000
Pm 2.4827 0.0000 0.0000
Gd 0.0000 0.0000 2.3501
Te 2.4827 2.4827 2.3501
```

## Properties
total moment: 7.53 μB/cell
space-group type: P4/mmm, No. 123
DOS at the Fermi energy: 4.24 states/eV/cell
volume: 29.0 Å³ per atom



*x*
VASP calculation (PBE-GGA) on Pm2GdTe after structural relaxation.

```
4
Lattice="1.9903 1.1491 9.9914 -1.9903 1.1491 9.9914 0.0000 -2.2983 9.9914" Properties=species:S:1:pos:R:3 pbc="T T T"
Pm 0.0000 0.0000 7.1346
Pm 0.0000 0.0000 22.8397
Gd 0.0000 0.0000 0.0000
Te 0.0000 0.0000 14.9871
```

## Properties
total moment: 8.39 μB/cell
space-group type: R-3m, No. 166
DOS at the Fermi energy: 6.32 states/eV/cell
volume: 34.3 Å³ per atom



Which structure wins on stability? *x* wins.



*w*
VASP calculation (PBE-GGA) on PmGd2Th after structural relaxation.

```
4
Lattice="0.0000 4.0509 4.0509 4.0509 0.0000 4.0509 4.0509 4.0509 0.0000" Properties=species:S:1:pos:R:3 pbc="T T T"
Pm 0.0000 0.0000 0.0000
Gd 2.0254 2.0254 2.0254
Gd 6.0763 6.0763 6.0763
Th 4.0509 4.0509 4.0509
```

## Properties
total moment: 15.79 μB/cell
space-group type: Fm-3m, No. 225
DOS at the Fermi energy: 7.60 states/eV/cell
volume: 33.2 Å³ per atom



*x*
VASP calculation (PBE-GGA) on PmGd2Th after structural relaxation.

```
4
Lattice="1.7436 1.0067 12.5842 -1.7436 1.0067 12.5842 0.0000 -2.0134 12.5842" Properties=species:S:1:pos:R:3 pbc="T T T"
Pm 0.0000 0.0000 0.0000
Gd 0.0000 0.0000 15.5159
Gd 0.0000 0.0000 22.2367
Th 0.0000 0.0000 18.8763
```

## Properties
total moment: 14.58 μB/cell
space-group type: R-3m, No. 166
DOS at the Fermi energy: 5.42 states/eV/cell
volume: 33.1 Å³ per atom



Which structure wins on stability? *w* wins.



*w*
VASP calculation (PBE-GGA) on PmGd2Th after structural relaxation.

```
4
Lattice="5.0687 0.0000 0.0000 0.0000 5.0687 0.0000 0.0000 0.0000 5.0962" Properties=species:S:1:pos:R:3 pbc="T T T"
Pm 0.0000 0.0000 0.0000
Gd 0.0000 2.5344 2.5481
Gd 2.5344 0.0000 2.5481
Th 2.5344 2.5344 0.0000
```

## Properties
total moment: 14.44 μB/cell
space-group type: P4/mmm, No. 123
DOS at the Fermi energy: 5.29 states/eV/cell
volume: 32.7 Å³ per atom



*x*
VASP calculation (PBE-GGA) on PmGd2Th after structural relaxation.

```
4
Lattice="3.5841 0.0000 0.0000 0.0000 3.5841 0.0000 0.0000 0.0000 10.2262" Properties=species:S:1:pos:R:3 pbc="T T T"
Pm 0.0000 0.0000 0.0000
Gd 1.7920 1.7920 2.6578
Gd 1.7920 1.7920 7.5684
Th 0.0000 0.0000 5.1131
```

## Properties
total moment: 14.22 μB/cell
space-group type: P4/mmm, No. 123
DOS at the Fermi energy: 6.35 states/eV/cell
volume: 32.8 Å³ per atom



Which structure wins on stability? *x* wins.



*w*
VASP calculation (PBE-GGA) on PmGdTh2 after structural relaxation.

```
4
Lattice="5.0253 0.0000 0.0000 0.0000 5.0253 0.0000 0.0000 0.0000 5.1611" Properties=species:S:1:pos:R:3 pbc="T T T"
Pm 0.0000 0.0000 0.0000
Gd 2.5126 2.5126 0.0000
Th 0.0000 2.5126 2.5805
Th 2.5126 0.0000 2.5805
```

## Properties
total moment: 7.12 μB/cell
space-group type: P4/mmm, No. 123
DOS at the Fermi energy: 6.28 states/eV/cell
volume: 32.6 Å³ per atom



*x*
VASP calculation (PBE-GGA) on PmGdTh2 after structural relaxation.

```
4
Lattice="3.5610 0.0000 0.0000 0.0000 3.5610 0.0000 0.0000 0.0000 10.3017" Properties=species:S:1:pos:R:3 pbc="T T T"
Pm 0.0000 0.0000 0.0000
Gd 0.0000 0.0000 5.1508
Th 1.7805 1.7805 2.6034
Th 1.7805 1.7805 7.6983
```

## Properties
total moment: 7.04 μB/cell
space-group type: P4/mmm, No. 123
DOS at the Fermi energy: 6.82 states/eV/cell
volume: 32.7 Å³ per atom



Which structure wins on stability? *w* wins.



*w*
VASP calculation (PBE-GGA) on PmGd2Ti after structural relaxation.

```
4
Lattice="3.4139 0.0000 0.0000 0.0000 3.4139 0.0000 0.0000 0.0000 9.7703" Properties=species:S:1:pos:R:3 pbc="T T T"
Pm 0.0000 0.0000 0.0000
Gd 1.7069 1.7069 2.7809
Gd 1.7069 1.7069 6.9894
Ti 0.0000 0.0000 4.8852
```

## Properties
total moment: 14.34 μB/cell
space-group type: P4/mmm, No. 123
DOS at the Fermi energy: 6.26 states/eV/cell
volume: 28.5 Å³ per atom



*x*
VASP calculation (PBE-GGA) on PmGd2Ti after structural relaxation.

```
4
Lattice="1.6861 0.9735 11.8837 -1.6861 0.9735 11.8837 0.0000 -1.9469 11.8837" Properties=species:S:1:pos:R:3 pbc="T T T"
Pm 0.0000 0.0000 0.0000
Gd 0.0000 0.0000 14.8894
Gd 0.0000 0.0000 20.7619
Ti 0.0000 0.0000 17.8256
```

## Properties
total moment: 16.48 μB/cell
space-group type: R-3m, No. 166
DOS at the Fermi energy: 5.38 states/eV/cell
volume: 29.3 Å³ per atom



Which structure wins on stability? *w* wins.



*w*
VASP calculation (PBE-GGA) on PmGdTl after structural relaxation.

```
3
Lattice="-1.8919 1.8919 6.4416 1.8919 -1.8919 6.4416 1.8919 1.8919 -6.4416" Properties=species:S:1:pos:R:3 pbc="T T T"
Pm 0.0000 0.0000 0.0000
Gd 0.0000 0.0000 4.0156
Tl 0.0000 0.0000 8.4858
```

## Properties
total moment: 8.07 μB/cell
space-group type: I4mm, No. 107
DOS at the Fermi energy: 3.10 states/eV/cell
volume: 30.7 Å³ per atom



*x*
VASP calculation (PBE-GGA) on PmGdTl after structural relaxation.

```
3
Lattice="5.3238 0.0000 0.0000 -2.6619 4.6105 0.0000 0.0000 0.0000 3.7373" Properties=species:S:1:pos:R:3 pbc="T T T"
Pm 0.0000 0.0000 0.0000
Gd 2.6619 1.5368 2.0555
Tl 0.0000 3.0737 1.2637
```

## Properties
total moment: 7.34 μB/cell
space-group type: P3m1, No. 156
DOS at the Fermi energy: 3.53 states/eV/cell
volume: 30.6 Å³ per atom



Which structure wins on stability? *w* wins.



*w*
VASP calculation (PBE-GGA) on PmGd2Tl after structural relaxation.

```
4
Lattice="1.8100 1.0450 11.1090 -1.8100 1.0450 11.1090 0.0000 -2.0900 11.1090" Properties=species:S:1:pos:R:3 pbc="T T T"
Pm 0.0000 0.0000 0.0000
Gd 0.0000 0.0000 8.1803
Gd 0.0000 0.0000 25.1468
Tl 0.0000 0.0000 16.6635
```

## Properties
total moment: 14.70 μB/cell
space-group type: R-3m, No. 166
DOS at the Fermi energy: 4.81 states/eV/cell
volume: 31.5 Å³ per atom



*x*
VASP calculation (PBE-GGA) on PmGd2Tl after structural relaxation.

```
4
Lattice="4.9023 0.0000 0.0000 0.0000 4.9023 0.0000 0.0000 0.0000 4.9344" Properties=species:S:1:pos:R:3 pbc="T T T"
Pm 0.0000 0.0000 0.0000
Gd 0.0000 2.4511 2.4672
Gd 2.4511 0.0000 2.4672
Tl 2.4511 2.4511 0.0000
```

## Properties
total moment: 15.48 μB/cell
space-group type: P4/mmm, No. 123
DOS at the Fermi energy: 3.61 states/eV/cell
volume: 29.6 Å³ per atom



*y*
VASP calculation (PBE-GGA) on PmGd2Tl after structural relaxation.

```
4
Lattice="0.0000 3.9124 3.9124 3.9124 0.0000 3.9124 3.9124 3.9124 0.0000" Properties=species:S:1:pos:R:3 pbc="T T T"
Pm 0.0000 0.0000 0.0000
Gd 1.9562 1.9562 1.9562
Gd 5.8686 5.8686 5.8686
Tl 3.9124 3.9124 3.9124
```

## Properties
total moment: 16.31 μB/cell
space-group type: Fm-3m, No. 225
DOS at the Fermi energy: 5.94 states/eV/cell
volume: 29.9 Å³ per atom



*z*
VASP calculation (PBE-GGA) on PmGd2Tl after structural relaxation.

```
4
Lattice="3.6467 0.0000 0.0000 0.0000 3.6467 0.0000 0.0000 0.0000 9.3018" Properties=species:S:1:pos:R:3 pbc="T T T"
Pm 0.0000 0.0000 0.0000
Gd 1.8234 1.8234 2.5369
Gd 1.8234 1.8234 6.7649
Tl 0.0000 0.0000 4.6509
```

## Properties
total moment: 14.76 μB/cell
space-group type: P4/mmm, No. 123
DOS at the Fermi energy: 4.32 states/eV/cell
volume: 30.9 Å³ per atom



Which structure wins on stability? *x* wins.



*w*
VASP calculation (PBE-GGA) on Pm2GdY after structural relaxation.

```
4
Lattice="1.8099 1.0450 11.7506 -1.8099 1.0450 11.7506 0.0000 -2.0899 11.7506" Properties=species:S:1:pos:R:3 pbc="T T T"
Pm 0.0000 0.0000 8.8215
Pm 0.0000 0.0000 26.4303
Gd 0.0000 0.0000 17.6259
Y 0.0000 0.0000 0.0000
```

## Properties
total moment: 7.20 μB/cell
space-group type: R-3m, No. 166
DOS at the Fermi energy: 5.69 states/eV/cell
volume: 33.3 Å³ per atom



*x*
VASP calculation (PBE-GGA) on Pm2GdY after structural relaxation.

```
4
Lattice="0.0000 4.0692 4.0692 4.0692 0.0000 4.0692 4.0692 4.0692 0.0000" Properties=species:S:1:pos:R:3 pbc="T T T"
Pm 2.0346 2.0346 2.0346
Pm 6.1039 6.1039 6.1039
Gd 0.0000 0.0000 0.0000
Y 4.0692 4.0692 4.0692
```

## Properties
total moment: 8.37 μB/cell
space-group type: Fm-3m, No. 225
DOS at the Fermi energy: 8.62 states/eV/cell
volume: 33.7 Å³ per atom



Which structure wins on stability? *w* wins.



*w*
VASP calculation (PBE-GGA) on PmGd2Y after structural relaxation.

```
4
Lattice="3.5985 0.0000 0.0000 0.0000 3.5985 0.0000 0.0000 0.0000 10.1699" Properties=species:S:1:pos:R:3 pbc="T T T"
Pm 0.0000 0.0000 0.0000
Gd 1.7993 1.7993 2.5553
Gd 1.7993 1.7993 7.6146
Y 0.0000 0.0000 5.0850
```

## Properties
total moment: 14.42 μB/cell
space-group type: P4/mmm, No. 123
DOS at the Fermi energy: 7.50 states/eV/cell
volume: 32.9 Å³ per atom



*x*
VASP calculation (PBE-GGA) on PmGd2Y after structural relaxation.

```
4
Lattice="0.0000 4.0434 4.0434 4.0434 0.0000 4.0434 4.0434 4.0434 0.0000" Properties=species:S:1:pos:R:3 pbc="T T T"
Pm 0.0000 0.0000 0.0000
Gd 2.0217 2.0217 2.0217
Gd 6.0651 6.0651 6.0651
Y 4.0434 4.0434 4.0434
```

## Properties
total moment: 16.28 μB/cell
space-group type: Fm-3m, No. 225
DOS at the Fermi energy: 6.34 states/eV/cell
volume: 33.1 Å³ per atom



Which structure wins on stability? *w* wins.



*w*
VASP calculation (PBE-GGA) on Pm2GdZn after structural relaxation.

```
4
Lattice="3.6520 0.0000 0.0000 0.0000 3.6520 0.0000 0.0000 0.0000 8.7216" Properties=species:S:1:pos:R:3 pbc="T T T"
Pm 0.0000 0.0000 1.8197
Pm 0.0000 0.0000 6.9019
Gd 1.8260 1.8260 4.3608
Zn 1.8260 1.8260 0.0000
```

## Properties
total moment: 7.38 μB/cell
space-group type: P4/mmm, No. 123
DOS at the Fermi energy: 4.74 states/eV/cell
volume: 29.1 Å³ per atom



*x*
VASP calculation (PBE-GGA) on Pm2GdZn after structural relaxation.

```
4
Lattice="4.8520 0.0000 0.0000 0.0000 4.8520 0.0000 0.0000 0.0000 4.7818" Properties=species:S:1:pos:R:3 pbc="T T T"
Pm 0.0000 2.4260 0.0000
Pm 2.4260 0.0000 0.0000
Gd 0.0000 0.0000 2.3909
Zn 2.4260 2.4260 2.3909
```

## Properties
total moment: 7.73 μB/cell
space-group type: P4/mmm, No. 123
DOS at the Fermi energy: 6.10 states/eV/cell
volume: 28.1 Å³ per atom



Which structure wins on stability? *w* wins.